Entry 1:
Density functional theory data (GGA-PBE) for a geometry-optimized CaAcSi structure.

abc: 4.688 4.688 8.360
angles: 90.00 90.00 90.00
Element x y z (fractional)
Ca (0.750, 0.250, 0.000)
Ca (0.250, 0.750, 0.000)
Ac (0.250, 0.250, 0.363)
Ac (0.750, 0.750, 0.637)
Si (0.750, 0.750, 0.246)
Si (0.250, 0.250, 0.754)

Output
* energy relative to the elements, uncorrected: -399 meV/atom
* polymorph energy (0 for the lowest one): 0 meV/atom
* total energy: -25.5 eV per cell
* volume: 183.7 Å³/cell

Entry 2:
Density functional theory data (GGA-PBE) for a geometry-optimized ZrSbAu structure.

abc: 6.264 6.264 6.264
angles: 148.80 148.80 44.71
Element x y z (fractional)
Au (0.008, 0.008, 0.000)
Sb (0.335, 0.335, 0.000)
Zr (0.657, 0.657, 0.000)

Output
* energy relative to the elements, uncorrected: -319 meV/atom
* total energy: -16.9 eV per cell
* volume: 65.8 Å³/cell

Entry 3:
Density functional theory data (GGA-PBE) for a geometry-optimized HfZnGeSe2 structure.

abc: 4.863 4.700 4.863
angles: 90.00 90.00 90.00
Element x y z (fractional)
Ge (0.000, 0.500, 0.000)
Hf (0.500, 0.500, 0.500)
Zn (0.000, 0.000, 0.000)
Se (0.000, 0.000, 0.500)
Se (0.500, 0.000, 0.000)

Output
* energy relative to the elements, uncorrected: 459 meV/atom
* total energy: -20.5 eV per cell
* volume: 111.2 Å³/cell

Entry 4:
Density functional theory data (GGA-PBE) for a geometry-optimized Ca3Cu2Ge3 structure.

abc: 4.357 5.706 14.511
angles: 90.00 90.00 112.45
Element x y z (fractional)
Ca (0.907, 0.814, 0.389)
Ca (0.093, 0.186, 0.889)
Ca (0.907, 0.814, 0.111)
Ca (0.093, 0.186, 0.611)
Ca (0.624, 0.248, 0.250)
Ca (0.376, 0.752, 0.750)
Cu (0.797, 0.594, 0.905)
Cu (0.203, 0.406, 0.405)
Cu (0.797, 0.594, 0.595)
Cu (0.203, 0.406, 0.095)
Ge (0.615, 0.230, 0.463)
Ge (0.385, 0.770, 0.963)
Ge (0.615, 0.230, 0.037)
Ge (0.385, 0.770, 0.537)
Ge (0.325, 0.649, 0.250)
Ge (0.675, 0.351, 0.750)

Output
* calculated formation energy: -49.0 kJ per mole of atoms
* total energy: -64.2 eV per cell
* volume: 333.4 Å³/cell